# 1
First-principles (PBE-GGA) data for a geometry-optimized ErScGa2Ni4 structure, as listed in OQMD.

a b c (Å): 4.1124 4.1124 8.3874
angles (deg): 90.00 90.00 120.00
With the nearest neighbours (Å) after each atom.
Space group P-6m2 (No. 187)
One atom of each set of equivalent atoms:
Er  0.0000  0.0000  0.0000 (multiplicity 1)  8 Ni 2.82-2.84
Sc  0.6667  0.3333  0.5000 (multiplicity 1)  8 Ni 2.63-2.74
Ga  0.3333  0.6667  0.2619 (multiplicity 2)  6 Ni 2.45-2.46
Ni  0.0000  0.0000  0.3364 (multiplicity 2)  3 Ga 2.45, 4 Ni 2.69-2.74, 3 Sc 2.74
Ni  0.6667  0.3333  0.1861 (multiplicity 2)  3 Ga 2.46, 1 Sc 2.63, 3 Ni 2.69

Results
* volume: 123 Å³ per cell
* E: -5.483 eV/atom

# 2
First-principles (PBE-GGA) data for a geometry-optimized Li4GaSbPd2 structure, as listed in OQMD.

a b c (Å): 4.3890 4.3890 6.2463
angles (deg): 90.00 90.00 90.00
With the nearest neighbours (Å) after each atom.
Space group P-4m2 (No. 115)
One atom of each set of equivalent atoms:
Li  0.0000  0.0000  0.0000 (multiplicity 1)  4 Li 2.63, 4 Pd 2.64
Li  0.0000  0.5000  0.2324 (multiplicity 2)  4 Li 2.63-2.76, 2 Ga 2.63, 2 Sb 2.76, 1 Pd 2.92
Li  0.5000  0.5000  0.5000 (multiplicity 1)  4 Pd 2.75, 4 Li 2.76
Ga  0.5000  0.5000  0.0000 (multiplicity 1)  4 Li 2.63, 4 Pd 2.64
Sb  0.0000  0.0000  0.5000 (multiplicity 1)  4 Pd 2.75, 4 Li 2.76
Pd  0.0000  0.5000  0.7649 (multiplicity 2)  5 Li 2.64-2.92, 2 Ga 2.64, 2 Sb 2.75

Results
* volume: 120 Å³ per cell
* E: -3.738 eV/atom

# 3
First-principles (PBE-GGA) data for a geometry-optimized Cu5Ag4 structure, as listed in OQMD.

a b c (Å): 9.1272 2.8089 11.1991
angles (deg): 90.00 113.47 90.00
With the nearest neighbours (Å) after each atom.
Space group Cm (No. 8)
One atom of each set of equivalent atoms:
Cu  0.0000  0.0000  0.0000 (multiplicity 2)  7 Cu 2.58-2.81, 4 Ag 2.64-2.65
Cu  0.0053  0.0000  0.3254 (multiplicity 2)  6 Cu 2.68-2.81, 6 Ag 2.75-2.79
Cu  0.1636  0.5000  0.5445 (multiplicity 2)  4 Cu 2.69-2.81, 8 Ag 2.71-2.91
Cu  0.1736  0.5000  0.9137 (multiplicity 2)  7 Cu 2.55-2.81, 3 Ag 2.77-2.85
Cu  0.3489  0.0000  0.1078 (multiplicity 2)  8 Cu 2.55-2.81, 3 Ag 2.70-2.71
Ag  0.0106  0.0000  0.6749 (multiplicity 2)  7 Ag 2.71-2.83, 5 Cu 2.77-2.91
Ag  0.1721  0.5000  0.2085 (multiplicity 2)  8 Cu 2.64-2.79, 4 Ag 2.81-2.82
Ag  0.3338  0.0000  0.7890 (multiplicity 2)  7 Cu 2.65-2.91, 5 Ag 2.71-2.81
Ag  0.3387  0.0000  0.4413 (multiplicity 2)  6 Cu 2.71-2.79, 6 Ag 2.81-2.83

Results
* volume: 263 Å³ per cell
* formation energy: 0.10 eV per atom

# 4
First-principles (PBE-GGA) data for a geometry-optimized HfIn2PbBr6 structure, as listed in OQMD.

a b c (Å): 11.3815 11.3815 11.3815
angles (deg): 90.00 90.00 90.00
With the nearest neighbours (Å) after each atom.
Space group Fm-3m (No. 225)
One atom of each set of equivalent atoms:
Hf  0.0000  0.0000  0.0000 (multiplicity 4)  6 Br 2.64
In  0.2500  0.2500  0.2500 (multiplicity 8)  12 Br 4.03
Pb  0.0000  0.0000  0.5000 (multiplicity 4)  6 Br 3.05
Br  0.0000  0.0000  0.2321 (multiplicity 24)  1 Hf 2.64

Results
* volume: 1474 Å³ per cell
* E: -3.582 eV/atom

# 5
First-principles (PBE-GGA) data for a geometry-optimized ScCuGeOs structure, as listed in OQMD.

a b c (Å): 6.2363 6.2363 6.2363
angles (deg): 90.00 90.00 90.00
With the nearest neighbours (Å) after each atom.
Space group F-43m (No. 216)
One atom of each set of equivalent atoms:
Sc  0.0000  0.0000  0.0000 (multiplicity 4)  4 Os 2.70, 4 Cu 2.70
Cu  0.2500  0.2500  0.7500 (multiplicity 4)  4 Ge 2.70, 4 Sc 2.70
Ge  0.0000  0.0000  0.5000 (multiplicity 4)  4 Cu 2.70, 4 Os 2.70
Os  0.2500  0.2500  0.2500 (multiplicity 4)  4 Ge 2.70, 4 Sc 2.70

Results
* volume: 243 Å³ per cell
* E: -6.615 eV/atom

# 6
First-principles (PBE-GGA) data for a geometry-optimized Hf4HgSbC2 structure, as listed in OQMD.

a b c (Å): 3.3510 3.3510 14.3532
angles (deg): 90.00 90.00 120.00
With the nearest neighbours (Å) after each atom.
Space group P-6m2 (No. 187)
One atom of each set of equivalent atoms:
Hf  0.0000  0.0000  0.1613 (multiplicity 2)  3 C 2.29
Hf  0.3333  0.6667  0.3311 (multiplicity 2)  3 C 2.28
Hg  0.0000  0.0000  0.5000 (multiplicity 1)  6 Hf 3.10, 6 Hg 3.35
Sb  0.3333  0.6667  0.0000 (multiplicity 1)  6 Hf 3.02, 6 Sb 3.35
C  0.6667  0.3333  0.2468 (multiplicity 2)  6 Hf 2.28-2.29

Results
* volume: 140 Å³ per cell
* E: -8.521 eV/atom

# 7
First-principles (PBE-GGA) data for a geometry-optimized Cs2RbBi2Au3 structure, as listed in OQMD.

a b c (Å): 6.8170 6.8170 22.7218
angles (deg): 90.00 90.00 120.00
With the nearest neighbours (Å) after each atom.
Space group R-3m (No. 166, hexagonal axes)
One atom of each set of equivalent atoms:
Cs  0.0000  0.0000  0.0811 (multiplicity 6)  1 Cs 3.68, 4 Bi 3.77-3.94, 6 Au 3.87
Rb  0.0000  0.0000  0.5000 (multiplicity 3)  6 Au 4.27, 6 Bi 4.34, 6 Cs 4.39
Bi  0.0000  0.0000  0.2469 (multiplicity 6)  3 Au 2.78
Au  0.0000  0.5000  0.0000 (multiplicity 9)  2 Bi 2.78

Results
* volume: 914 Å³ per cell
* E: -2.945 eV/atom

# 8
First-principles (PBE-GGA) data for a geometry-optimized SmTlHgTe3 structure, as listed in OQMD.

a b c (Å): 8.9894 4.6889 18.6922
angles (deg): 90.00 90.00 90.00
With the nearest neighbours (Å) after each atom.
Space group Pnma (No. 62)
One atom of each set of equivalent atoms:
Sm  0.2228  0.2500  0.0408 (multiplicity 4)  7 Te 3.12-3.44
Tl  0.0815  0.2500  0.8063 (multiplicity 4)  6 Te 3.46-3.53, 2 Hg 3.73
Hg  0.0421  0.2500  0.3369 (multiplicity 4)  4 Te 2.83-3.10
Te  0.0054  0.2500  0.5736 (multiplicity 4)  2 Hg 2.91
Te  0.1279  0.7500  0.9407 (multiplicity 4)  3 Sm 3.12-3.17, 2 Tl 3.46
Te  0.2106  0.2500  0.2087 (multiplicity 4)  2 Hg 2.83-3.10, 1 Sm 3.14

Results
* volume: 788 Å³ per cell
* E: -3.465 eV/atom

# 9
First-principles (PBE-GGA) data for a geometry-optimized Cu5Ag2 structure, as listed in OQMD.

a b c (Å): 8.8900 2.7212 7.9292
angles (deg): 90.00 94.53 90.00
With the nearest neighbours (Å) after each atom.
Space group C2/m (No. 12)
One atom of each set of equivalent atoms:
Cu  0.0000  0.0000  0.0000 (multiplicity 2)  8 Cu 2.60-2.72, 4 Ag 2.68
Cu  0.1500  0.0000  0.5771 (multiplicity 4)  7 Cu 2.62-2.84, 5 Ag 2.62-2.72
Cu  0.2101  0.5000  0.8672 (multiplicity 4)  9 Cu 2.56-2.72, 3 Ag 2.70-2.73
Ag  0.0715  0.5000  0.2864 (multiplicity 4)  10 Cu 2.62-2.73, 2 Ag 2.72

Results
* volume: 191 Å³ per cell
* formation energy: 0.09 eV per atom

# 10
First-principles (PBE-GGA) data for a geometry-optimized ScCoCuSn structure, as listed in OQMD.

a b c (Å): 6.2951 6.2951 6.2951
angles (deg): 90.00 90.00 90.00
With the nearest neighbours (Å) after each atom.
Space group F-43m (No. 216)
One atom of each set of equivalent atoms:
Sc  0.0000  0.0000  0.0000 (multiplicity 4)  4 Co 2.73, 4 Cu 2.73
Co  0.2500  0.2500  0.2500 (multiplicity 4)  4 Sn 2.73, 4 Sc 2.73
Cu  0.2500  0.2500  0.7500 (multiplicity 4)  4 Sn 2.73, 4 Sc 2.73
Sn  0.0000  0.0000  0.5000 (multiplicity 4)  4 Co 2.73, 4 Cu 2.73

Results
* volume: 249 Å³ per cell
* E: -5.612 eV/atom

# 11
First-principles (PBE-GGA) data for a geometry-optimized SrCuTcOs structure, as listed in OQMD.

a b c (Å): 6.5602 6.5602 6.5602
angles (deg): 90.00 90.00 90.00
With the nearest neighbours (Å) after each atom.
Space group F-43m (No. 216)
One atom of each set of equivalent atoms:
Sr  0.0000  0.0000  0.0000 (multiplicity 4)  4 Tc 2.84, 4 Os 2.84
Cu  0.0000  0.0000  0.5000 (multiplicity 4)  4 Tc 2.84, 4 Os 2.84
Tc  0.2500  0.2500  0.7500 (multiplicity 4)  4 Cu 2.84, 4 Sr 2.84
Os  0.2500  0.2500  0.2500 (multiplicity 4)  4 Cu 2.84, 4 Sr 2.84

Results
* volume: 282 Å³ per cell
* E: -5.422 eV/atom

# 12
First-principles (PBE-GGA) data for a geometry-optimized YHgSeO structure, as listed in OQMD.

a b c (Å): 5.6957 5.6947 11.5598
angles (deg): 90.00 90.08 90.00
With the nearest neighbours (Å) after each atom.
Space group P2_1 (No. 4)
One atom of each set of equivalent atoms:
Y  0.0005  0.0000  0.0928 (multiplicity 2)  4 O 2.26-2.28
Y  0.4991  0.0008  0.9091 (multiplicity 2)  4 O 2.27-2.29
Hg  0.0060  0.4987  0.3168 (multiplicity 2)  2 Se 2.52
Hg  0.2971  0.7535  0.5007 (multiplicity 2)  2 Hg 3.06, 2 Se 3.39-3.42
Se  0.3061  0.3043  0.7200 (multiplicity 2)  1 Hg 2.52
Se  0.3153  0.1917  0.2790 (multiplicity 2)  1 Hg 2.52
O  0.2453  0.2506  0.0002 (multiplicity 2)  4 Y 2.26-2.29
O  0.2500  0.7506  0.9997 (multiplicity 2)  4 Y 2.27-2.28

Results
* volume: 375 Å³ per cell
* E: -5.664 eV/atom

# 13
First-principles (PBE-GGA) data for a geometry-optimized Hf2NpN4 structure, as listed in OQMD.

a b c (Å): 3.1649 10.5316 10.4197
angles (deg): 90.00 90.00 90.00
With the nearest neighbours (Å) after each atom.
Space group Cmcm (No. 63)
One atom of each set of equivalent atoms:
Hf  0.0000  0.1326  0.0670 (multiplicity 8)  6 N 2.17-2.22
Np  0.0000  0.3875  0.2500 (multiplicity 4)  6 N 2.21-2.44
N  0.0000  0.0340  0.2500 (multiplicity 4)  2 Hf 2.17, 2 Np 2.21
N  0.0000  0.2309  0.6181 (multiplicity 8)  3 Hf 2.19-2.20, 2 Np 2.44
N  0.0000  0.5000  0.0000 (multiplicity 4)  4 Hf 2.22

Results
* volume: 347 Å³ per cell
* E: -10.960 eV/atom

# 14
First-principles (PBE-GGA) data for a geometry-optimized SrNbSi structure, as listed in OQMD.

a b c (Å): 7.0490 7.0490 7.0490
angles (deg): 90.00 90.00 90.00
With the nearest neighbours (Å) after each atom.
Space group F-43m (No. 216)
One atom of each set of equivalent atoms:
Sr  0.0000  0.0000  0.0000 (multiplicity 4)  4 Nb 3.05, 4 Si 3.05
Nb  0.2500  0.2500  0.7500 (multiplicity 4)  4 Sr 3.05
Si  0.2500  0.2500  0.2500 (multiplicity 4)  4 Sr 3.05

Results
* volume: 350 Å³ per cell
* E: -4.282 eV/atom

# 15
First-principles (PBE-GGA) data for a geometry-optimized Er3GePd4 structure, as listed in OQMD.

a b c (Å): 5.4980 4.4223 6.6753
angles (deg): 90.00 92.29 90.00
With the nearest neighbours (Å) after each atom.
Space group Pm (No. 6)
One atom of each set of equivalent atoms:
Er  0.0000  0.0000  0.0000 (multiplicity 1)  7 Pd 2.82-3.13
Er  0.2121  0.0000  0.4978 (multiplicity 1)  7 Pd 2.78-2.88
Er  0.5109  0.5000  0.8670 (multiplicity 1)  7 Pd 2.90-3.07
Ge  0.7456  0.5000  0.3400 (multiplicity 1)  7 Pd 2.70-3.02
Pd  0.0110  0.5000  0.7106 (multiplicity 1)  1 Ge 2.82, 2 Pd 2.85, 6 Er 2.87-2.98
Pd  0.2104  0.5000  0.2221 (multiplicity 1)  2 Ge 2.70-3.02, 5 Er 2.88-2.94, 2 Pd 2.88
Pd  0.5389  0.0000  0.1712 (multiplicity 1)  2 Ge 2.71, 4 Er 2.82-3.00, 3 Pd 2.88-2.96
Pd  0.7076  0.0000  0.5983 (multiplicity 1)  5 Er 2.78-3.07, 2 Ge 2.82, 3 Pd 2.85-2.96

Results
* volume: 162 Å³ per cell
* E: -5.689 eV/atom

# 16
First-principles (PBE-GGA) data for a geometry-optimized BaAl6Ga3Co2 structure, as listed in OQMD.

a b c (Å): 7.9491 7.9491 3.9615
angles (deg): 90.00 90.00 120.00
With the nearest neighbours (Å) after each atom.
Space group P6/mmm (No. 191)
One atom of each set of equivalent atoms:
Ba  0.0000  0.0000  0.0000 (multiplicity 1)  12 Al 3.56, 2 Ba 3.96, 6 Ga 3.97
Al  0.2152  0.4304  0.5000 (multiplicity 6)  2 Co 2.56, 2 Al 2.82, 4 Ga 2.85
Ga  0.0000  0.5000  0.0000 (multiplicity 3)  2 Co 2.29
Co  0.3333  0.6667  0.0000 (multiplicity 2)  3 Ga 2.29, 6 Al 2.56

Results
* volume: 217 Å³ per cell
* E: -4.356 eV/atom

# 17
First-principles (PBE-GGA) data for a geometry-optimized HfFeReSn structure, as listed in OQMD.

a b c (Å): 6.4101 6.4101 6.4101
angles (deg): 90.00 90.00 90.00
With the nearest neighbours (Å) after each atom.
Space group F-43m (No. 216)
One atom of each set of equivalent atoms:
Hf  0.0000  0.0000  0.0000 (multiplicity 4)  4 Fe 2.78, 4 Re 2.78
Fe  0.2500  0.2500  0.7500 (multiplicity 4)  4 Sn 2.78, 4 Hf 2.78
Re  0.2500  0.2500  0.2500 (multiplicity 4)  4 Hf 2.78, 4 Sn 2.78
Sn  0.0000  0.0000  0.5000 (multiplicity 4)  4 Re 2.78, 4 Fe 2.78

Results
* volume: 263 Å³ per cell
* E: -8.687 eV/atom

# 18
First-principles (PBE-GGA) data for a geometry-optimized LiAgTeIrSe2 structure, as listed in OQMD.

a b c (Å): 3.6559 13.9619 10.3654
angles (deg): 90.00 90.00 90.00
With the nearest neighbours (Å) after each atom.
Space group Cmcm (No. 63)
One atom of each set of equivalent atoms:
Li  0.0000  0.2147  0.2500 (multiplicity 4)  2 Ag 2.79, 2 Te 2.88, 2 Se 2.96
Ag  0.0000  0.1341  0.7500 (multiplicity 4)  2 Se 2.49, 2 Li 2.79
Te  0.0000  0.4443  0.7500 (multiplicity 4)  2 Ir 2.71, 2 Li 2.88
Ir  0.0000  0.5000  0.0000 (multiplicity 4)  4 Se 2.54, 2 Te 2.71
Se  0.0000  0.1258  0.5097 (multiplicity 8)  1 Ag 2.49, 2 Ir 2.54

Results
* volume: 529 Å³ per cell
* E: -4.215 eV/atom

# 19
First-principles (PBE-GGA) data for a geometry-optimized SmGdAg2Bi4 structure, as listed in OQMD.

a b c (Å): 4.5578 4.5578 10.3788
angles (deg): 90.00 90.00 90.00
With the nearest neighbours (Å) after each atom.
Space group P4mm (No. 99)
One atom of each set of equivalent atoms:
Sm  0.0000  0.0000  0.0000 (multiplicity 1)  8 Bi 3.30-3.46, 4 Ag 3.50
Gd  0.5000  0.5000  0.5038 (multiplicity 1)  8 Bi 3.28-3.42, 4 Ag 3.43
Ag  0.0000  0.5000  0.2564 (multiplicity 2)  4 Bi 2.99-3.00, 4 Ag 3.22
Bi  0.0000  0.0000  0.4427 (multiplicity 1)  4 Ag 2.99, 4 Gd 3.28
Bi  0.0000  0.5000  0.7497 (multiplicity 2)  4 Bi 3.22, 2 Gd 3.42, 2 Sm 3.46
Bi  0.5000  0.5000  0.0685 (multiplicity 1)  4 Ag 3.00, 4 Sm 3.30

Results
* volume: 216 Å³ per cell
* E: -4.397 eV/atom

# 20
First-principles (PBE-GGA) data for a geometry-optimized HfB4Os structure, as listed in OQMD.

a b c (Å): 5.8444 11.3550 3.4599
angles (deg): 90.00 90.00 90.00
With the nearest neighbours (Å) after each atom.
Space group Pbam (No. 55)
One atom of each set of equivalent atoms:
Hf  0.1304  0.1494  0.0000 (multiplicity 4)  14 B 2.55-2.71
B  0.0275  0.6939  0.5000 (multiplicity 4)  2 B 1.68-1.74
B  0.1162  0.5478  0.5000 (multiplicity 4)  3 B 1.72-1.74
B  0.1313  0.9696  0.5000 (multiplicity 4)  3 B 1.68-1.84
B  0.2023  0.8118  0.5000 (multiplicity 4)  2 B 1.68-1.84
Os  0.1428  0.4023  0.0000 (multiplicity 4)  10 B 2.21-2.40

Results
* volume: 230 Å³ per cell
* E: -8.476 eV/atom

# 21
First-principles (PBE-GGA) data for a geometry-optimized LiScPd2 structure, as listed in OQMD.

a b c (Å): 4.3127 4.3127 6.8539
angles (deg): 90.00 90.00 90.00
With the nearest neighbours (Å) after each atom.
Space group I4/mmm (No. 139)
One atom of each set of equivalent atoms:
Li  0.0000  0.0000  0.0000 (multiplicity 2)  8 Pd 2.75, 4 Sc 3.05
Sc  0.0000  0.0000  0.5000 (multiplicity 2)  8 Pd 2.75, 4 Li 3.05
Pd  0.0000  0.5000  0.2500 (multiplicity 4)  4 Li 2.75, 4 Sc 2.75, 4 Pd 3.05

Results
* volume: 127 Å³ per cell
* E: -5.387 eV/atom

# 22
First-principles (PBE-GGA) data for a geometry-optimized MgCdFeTe structure, as listed in OQMD.

a b c (Å): 6.8589 6.8589 6.8589
angles (deg): 90.00 90.00 90.00
With the nearest neighbours (Å) after each atom.
Space group F-43m (No. 216)
One atom of each set of equivalent atoms:
Mg  0.0000  0.0000  0.0000 (multiplicity 4)  4 Cd 2.97, 4 Te 2.97
Cd  0.2500  0.2500  0.7500 (multiplicity 4)  4 Fe 2.97, 4 Mg 2.97
Fe  0.0000  0.0000  0.5000 (multiplicity 4)  4 Cd 2.97, 4 Te 2.97
Te  0.2500  0.2500  0.2500 (multiplicity 4)  4 Fe 2.97, 4 Mg 2.97

Results
* volume: 323 Å³ per cell
* E: -3.184 eV/atom